(1)
Here is an optimized crystal structure of FeSi2AgGe from Alexandria. Energies are from GGA-PBE.

Unit cell a=4.223 b=5.183 c=4.223 alpha=90.00 beta=90.00 gamma=90.00
Sites, in units of the cell vectors:
Ge 0.500 0.500 0.500
Si 0.000 0.000 0.500
Si 0.500 0.000 0.000
Fe 0.000 0.000 0.000
Ag 0.000 0.500 0.000

V (Å³/cell): 92
SG: P4/mmm, No. 123
Total magnetic moment (μB/f.u.): 0.00
Total DFT energy (no corrections) (eV/atom): -4.906
Uncorrected formation energy (eV per formula unit): 2.25

(2)
Here is an optimized crystal structure of TbPr7Cd2 from Alexandria. Energies are from GGA-PBE.

Unit cell a=5.392 b=9.380 c=9.380 alpha=121.39 beta=90.00 gamma=90.00
Sites, in units of the cell vectors:
Tb 0.000 0.000 0.000
Pr 0.000 0.777 0.223
Pr 0.000 0.223 0.777
Pr 0.500 0.066 0.300
Pr 0.500 0.934 0.700
Pr 0.500 0.300 0.066
Pr 0.500 0.700 0.934
Pr 0.500 0.500 0.500
Cd 0.500 0.696 0.304
Cd 0.500 0.304 0.696

V (Å³/cell): 405
SG: Cmmm, No. 65
Total magnetic moment (μB/f.u.): 0.00
Total DFT energy (no corrections) (eV/atom): -3.630
Formation enthalpy at 0 K (eV/atom): 0.361

(3)
Here is an optimized crystal structure of KLi2PIr from Alexandria. Energies are from GGA-PBE.

Unit cell a=4.985 b=4.985 c=4.422 alpha=90.00 beta=90.00 gamma=90.00
Sites, in units of the cell vectors:
P 0.000 0.000 0.500
K 0.500 0.500 0.500
Ir 0.000 0.000 0.000
Li 0.000 0.500 0.000
Li 0.500 0.000 0.000

V (Å³/cell): 110
SG: P4/mmm, No. 123
Total magnetic moment (μB/f.u.): 0.00
Total DFT energy (no corrections) (eV/atom): -4.184
Formation enthalpy at 0 K (eV/atom): -0.345

(4)
Here is an optimized crystal structure of PrPuMn2 from Alexandria. Energies are from GGA-PBE.

Unit cell a=3.468 b=3.468 c=7.019 alpha=90.00 beta=90.00 gamma=90.00
Sites, in units of the cell vectors:
Pr 0.500 0.500 0.500
Mn 0.000 0.000 0.804
Mn 0.000 0.000 0.196
Pu 0.500 0.500 0.000

V (Å³/cell): 84
SG: P4/mmm, No. 123
Total magnetic moment (μB/f.u.): 0.12
Total DFT energy (no corrections) (eV/atom): -9.232
Formation enthalpy at 0 K (eV/atom): 0.131

- Number 3 is which compound?
  KLi2PIr